Entry from the Alexandria database: a geometry-optimized LiNiSb2Te structure (PBE).

abc: 4.909 4.909 5.575
angles: 90.00 90.00 90.00
Element x y z (fractional)
Te  0.000  0.000  0.500
Sb  0.000  0.500  0.000
Sb  0.500  0.000  0.000
Li  0.500  0.500  0.500
Ni  0.000  0.000  0.000

Values from the calculation:
Polymorph energy (0 for the lowest one) (meV/atom): 0
D(E_F) (states/eV/f.u.): 2.87
E_form (uncorrected) (meV per atom): 87
Crystal system: tetragonal

---

Entry from the Alexandria database: a geometry-optimized Pr2ZrCd structure (PBE).

abc: 3.533 5.707 5.707
angles: 90.00 90.00 90.00
Element x y z (fractional)
Cd  0.500  0.000  0.000
Pr  0.000  0.500  0.000
Pr  0.000  0.000  0.500
Zr  0.500  0.500  0.500

Values from the calculation:
Polymorph energy (0 for the lowest one) (meV/atom): 57
D(E_F) (states/eV/f.u.): 5.98
DFT formation energy (eV per atom): 0.007
Crystal system: tetragonal

---

Entry from the Alexandria database: a geometry-optimized DyIn2GeTe4 structure (PBE).

abc: 4.380 7.923 7.682
angles: 71.23 90.00 90.00
Element x y z (fractional)
Dy  0.000  0.500  0.500
Ge  0.500  0.500  0.000
Te  0.000  0.728  0.758
Te  0.000  0.272  0.242
Te  0.500  0.728  0.254
Te  0.500  0.272  0.746
In  0.500  0.000  0.500
In  0.000  0.000  0.000

Values from the calculation:
D(E_F) (states/eV/f.u.): 3.62
E_form (uncorrected) (meV per atom): -540
Crystal system: monoclinic